PBE-GGA Pr2Sc2Sb2H, optimized geometry; total energy = -5.701 eV/atom; calculated density = 6.2 Mg/m³
1.0
-0.4777 -4.3375 -0.8912
3.8262 0.0469 -2.2790
2.5051 0.2514 8.5628
Pr Sc Sb H
2 2 2 1
Cartesian
1.4780 -0.6698 2.4676 Pr
4.3756 -3.3695 2.9250 Pr
1.9131 0.0234 -1.1395 Sc
-0.2389 -2.1687 -0.4456 Sc
3.1304 -1.4186 5.2265 Sb
2.7232 -2.6207 0.1661 Sb
0.0000 0.0000 0.0000 H